Record 1
This record from Alexandria describes MgBe2Al after structural relaxation. The functional is PBE-GGA.

For the density of states at the Fermi level, the calculation gives 1.377 states/eV/cell. The calculation puts the energy above the most stable polymorph in this dataset at 256 meV/atom. The value obtained for the formation energy is 0.305 eV/atom.

It has space group P2/m (No. 10), with a = 2.728 Å, b = 3.555 Å, c = 5.729 Å, α = 90.00°, β = 90.36° and γ = 90.00°. Symmetry generates all atoms from Mg at (0.000, 0.000, 0.000), Be at (0.500, 0.500, 0.299) and Al at (0.000, 0.000, 0.500).

***

Record 2
This record from Alexandria describes TaBe2Sb after structural relaxation. The functional is PBE-GGA.

The value obtained for the energy relative to the elements, uncorrected is 0.4896 eV per atom. For the density of states at the Fermi level, the calculation gives 3.516 states/eV/cell.

It has space group Cmmm (No. 65), with a = 3.859 Å, b = 4.346 Å, c = 7.815 Å, α = 90.00°, β = 90.00° and γ = 90.00°. Symmetry generates all atoms from Ta at (0.000, 0.000, 0.000), Be at (0.000, 0.500, 0.215) and Sb at (0.000, 0.000, 0.500).

***

Record 3
This record from Alexandria describes ZnCo2Br after structural relaxation. The functional is PBE-GGA.

The value obtained for the energy relative to the elements, uncorrected is 0.4395 eV per atom. For the density of states at the Fermi level, the calculation gives 3.106 states/eV/cell. The calculation puts the energy above the most stable polymorph in this dataset at 170 meV/atom.

It has space group P4/mmm (No. 123), with a = 3.208 Å, b = 3.208 Å, c = 6.015 Å, α = 90.00°, β = 90.00° and γ = 90.00°. Symmetry generates all atoms from Zn at (0.000, 0.000, 0.000), Co at (0.500, 0.500, 0.190) and Br at (0.000, 0.000, 0.500).

***

Short version: volume = 13.9; 16.4; 15.5 Å³/atom, in the order given.